(1)
{
  "formula": "Al3IrCl",
  "functional": "PBE-GGA",
  "state": "optimized geometry",
  "lattice": [[4.764, -4.838, 0.000], [4.764, 4.838, 0.000], [0.000, 0.000, 4.831]],
  "species": ["Cl", "Ir", "Al", "Al", "Al", "Ir", "Al", "Al", "Al", "Cl"],
  "frac_coords": [[0.187, 0.187, 0.000], [0.747, 0.253, 0.500], [0.000, 0.000, 0.500], [0.206, 0.794, 0.000], [0.000, 0.500, 0.500], [0.253, 0.747, 0.500], [0.500, 0.500, 0.500], [0.794, 0.206, 0.000], [0.500, 0.000, 0.500], [0.813, 0.813, 0.000]],
  "energy_ev_per_atom": -4.904,
  "crystal_system": "orthorhombic",
  "total_magnetization_mub_per_atom": 0.00
}

=====

(2)
{
  "formula": "AcHoPO",
  "functional": "PBE-GGA",
  "state": "optimized geometry",
  "lattice": [[4.471, 0.000, 0.000], [0.000, 5.381, 0.000], [0.000, 0.000, 7.484]],
  "species": ["Ho", "O", "Ac", "Ac", "O", "P", "P", "Ho"],
  "frac_coords": [[0.000, 0.641, 0.444], [0.500, 0.698, 0.422], [0.500, 0.871, 0.092], [0.500, 0.129, 0.592], [0.500, 0.302, 0.922], [0.000, 0.157, 0.296], [0.000, 0.843, 0.796], [0.000, 0.359, 0.944]],
  "energy_ev_per_atom": -6.815,
  "crystal_system": "orthorhombic",
  "total_magnetization_mub_per_atom": 0.23
}

=====

(3)
{
  "formula": "DySeClO3",
  "functional": "PBE-GGA",
  "state": "optimized geometry",
  "lattice": [[-5.298, 4.492, 1.468], [-3.562, -5.170, 2.964], [3.734, 1.872, 7.750]],
  "species": ["Cl", "O", "O", "O", "O", "Se", "Se", "Dy", "O", "Cl", "Dy", "O", "O", "O", "O", "Se", "Cl", "O", "O", "Se", "O", "Dy", "Cl", "Dy"],
  "frac_coords": [[0.952, 0.250, 0.177], [0.147, 0.572, 0.435], [0.253, 0.250, 0.679], [0.247, 0.750, 0.179], [0.647, 0.572, 0.065], [0.200, 0.250, 0.867], [0.700, 0.250, 0.633], [0.896, 0.750, 0.541], [0.647, 0.928, 0.065], [0.452, 0.250, 0.323], [0.604, 0.250, 0.041], [0.147, 0.928, 0.435], [0.853, 0.428, 0.565], [0.353, 0.072, 0.935], [0.753, 0.250, 0.821], [0.800, 0.750, 0.133], [0.548, 0.750, 0.677], [0.353, 0.428, 0.935], [0.747, 0.750, 0.321], [0.300, 0.750, 0.367], [0.853, 0.072, 0.565], [0.396, 0.750, 0.959], [0.048, 0.750, 0.823], [0.104, 0.250, 0.459]],
  "energy_ev_per_atom": -6.165,
  "crystal_system": "orthorhombic",
  "total_magnetization_mub_per_atom": 0.00
}

=====

(4)
{
  "formula": "SmGd2In3PtAu2",
  "functional": "PBE-GGA",
  "state": "optimized geometry",
  "lattice": [[4.012, 0.000, 0.000], [0.000, 6.725, 3.878], [0.000, -6.725, 3.878]],
  "species": ["In", "In", "Gd", "Pt", "In", "Gd", "Au", "Au", "Sm"],
  "frac_coords": [[0.500, 0.745, 0.745], [0.500, 0.000, 0.254], [0.000, 0.000, 0.598], [0.000, 0.998, 0.998], [0.500, 0.254, 0.000], [0.000, 0.598, 0.000], [0.500, 0.669, 0.332], [0.500, 0.332, 0.669], [0.000, 0.404, 0.404]],
  "energy_ev_per_atom": -4.703,
  "crystal_system": "orthorhombic",
  "total_magnetization_mub_per_atom": 0.00
}